Run w
# PBE-GGA TbHoGaRu, relaxed
data_TbHoGaRu
_symmetry_space_group_name_H-M 'F -4 3 m'
_symmetry_Int_Tables_number 216
_symmetry_space_group_name_Hall 'F -4 2 3'
_cell_length_a 6.974
_cell_length_b 6.974
_cell_length_c 6.974
_cell_angle_alpha 90.00
_cell_angle_beta 90.00
_cell_angle_gamma 90.00
loop_
_atom_site_label
_atom_site_type_symbol
_atom_site_fract_x
_atom_site_fract_y
_atom_site_fract_z
_atom_site_occupancy
Tb1 Tb 0.000 0.000 0.000 1
Ho1 Ho 0.000 0.000 0.500 1
Ga1 Ga 0.250 0.250 0.250 1
Ru1 Ru 0.250 0.250 0.750 1
# Crystal system ... cubic

Run x
# PBE-GGA TbHoGaRu, relaxed
data_TbHoGaRu
_symmetry_space_group_name_H-M 'A m m 2'
_symmetry_Int_Tables_number 38
_cell_length_a 4.341
_cell_length_b 3.870
_cell_length_c 10.688
_cell_angle_alpha 90.00
_cell_angle_beta 90.00
_cell_angle_gamma 90.00
loop_
_symmetry_equiv_pos_as_xyz
'x,y,z'
'-x,-y,z'
'-x,y,z'
'x,-y,z'
'x,y+1/2,z+1/2'
'-x,-y+1/2,z+1/2'
'-x,y+1/2,z+1/2'
'x,-y+1/2,z+1/2'
loop_
_atom_site_label
_atom_site_type_symbol
_atom_site_fract_x
_atom_site_fract_y
_atom_site_fract_z
_atom_site_occupancy
Tb1 Tb 0.000 0.000 0.000 1
Ho1 Ho 0.500 0.000 0.715 1
Ga1 Ga 0.500 0.000 0.422 1
Ru1 Ru 0.000 0.000 0.286 1
# Crystal system ... orthorhombic

Each structure's energy above the most stable one, in meV/atom: run w 32; run x 0.

Run w
# PBE-GGA HoTmGaRu, relaxed
data_HoTmGaRu
_symmetry_space_group_name_H-M 'A m m 2'
_symmetry_Int_Tables_number 38
_cell_length_a 4.367
_cell_length_b 3.743
_cell_length_c 10.636
_cell_angle_alpha 90.00
_cell_angle_beta 90.00
_cell_angle_gamma 90.00
loop_
_symmetry_equiv_pos_as_xyz
'x,y,z'
'-x,-y,z'
'-x,y,z'
'x,-y,z'
'x,y+1/2,z+1/2'
'-x,-y+1/2,z+1/2'
'-x,y+1/2,z+1/2'
'x,-y+1/2,z+1/2'
loop_
_atom_site_label
_atom_site_type_symbol
_atom_site_fract_x
_atom_site_fract_y
_atom_site_fract_z
_atom_site_occupancy
Ho1 Ho 0.000 0.000 0.000 1
Tm1 Tm 0.500 0.000 0.711 1
Ga1 Ga 0.500 0.000 0.421 1
Ru1 Ru 0.000 0.000 0.282 1
# Crystal system ... orthorhombic

Run x
# PBE-GGA HoTmGaRu, relaxed
data_HoTmGaRu
_symmetry_space_group_name_H-M 'F -4 3 m'
_symmetry_Int_Tables_number 216
_symmetry_space_group_name_Hall 'F -4 2 3'
_cell_length_a 6.909
_cell_length_b 6.909
_cell_length_c 6.909
_cell_angle_alpha 90.00
_cell_angle_beta 90.00
_cell_angle_gamma 90.00
loop_
_atom_site_label
_atom_site_type_symbol
_atom_site_fract_x
_atom_site_fract_y
_atom_site_fract_z
_atom_site_occupancy
Ho1 Ho 0.000 0.000 0.000 1
Tm1 Tm 0.000 0.000 0.500 1
Ga1 Ga 0.250 0.250 0.750 1
Ru1 Ru 0.250 0.250 0.250 1
# Crystal system ... cubic

Each structure's energy above the most stable one, in meV/atom: run w 0; run x 20.